No. 1
Density functional theory data (GGA-PBE) for a relaxed structure of HfNi2GeCl.

CIF file:
```
data_HfNi2GeCl
_cell_length_a 4.117
_cell_length_b 4.117
_cell_length_c 4.860
_cell_angle_alpha 90.00
_cell_angle_beta 90.00
_cell_angle_gamma 90.00
_space_group_name_H-M_alt 'P 4/m m m'
_space_group_IT_number 123
_space_group_name_Hall '-P 4 2'
loop_
_atom_site_label
_atom_site_type_symbol
_atom_site_fract_x
_atom_site_fract_y
_atom_site_fract_z
Hf1 Hf 0.000 0.000 0.000
Ni1 Ni 0.000 0.500 0.500
Ge1 Ge 0.500 0.500 0.000
Cl1 Cl 0.000 0.000 0.500
```

Computed properties:
raw total energy: -5.361 eV/atom
E_form (uncorrected): 0.24 eV/atom
density of states at the Fermi level: 0.417 states/eV/atom

***

No. 2
Density functional theory data (GGA-PBE) for a relaxed structure of YHfGeCl2.

CIF file:
```
data_YHfGeCl2
_cell_length_a 4.950
_cell_length_b 4.950
_cell_length_c 6.179
_cell_angle_alpha 90.00
_cell_angle_beta 90.00
_cell_angle_gamma 90.00
_space_group_name_H-M_alt 'P 4/m m m'
_space_group_IT_number 123
_space_group_name_Hall '-P 4 2'
loop_
_atom_site_label
_atom_site_type_symbol
_atom_site_fract_x
_atom_site_fract_y
_atom_site_fract_z
Y1 Y 0.000 0.000 0.000
Hf1 Hf 0.500 0.500 0.500
Ge1 Ge 0.000 0.000 0.500
Cl1 Cl 0.000 0.500 0.000
```

Computed properties:
raw total energy: -5.180 eV/atom
E_form (uncorrected): -0.23 eV/atom
density of states at the Fermi level: 0.103 states/eV/atom

***

No. 3
Density functional theory data (GGA-PBE) for a relaxed structure of HfZrGe2Cl.

CIF file:
```
data_HfZrGe2Cl
_cell_length_a 5.084
_cell_length_b 5.084
_cell_length_c 5.423
_cell_angle_alpha 90.00
_cell_angle_beta 90.00
_cell_angle_gamma 90.00
_space_group_name_H-M_alt 'P 4/m m m'
_space_group_IT_number 123
_space_group_name_Hall '-P 4 2'
loop_
_atom_site_label
_atom_site_type_symbol
_atom_site_fract_x
_atom_site_fract_y
_atom_site_fract_z
Hf1 Hf 0.000 0.000 0.000
Zr1 Zr 0.000 0.000 0.500
Ge1 Ge 0.000 0.500 0.000
Cl1 Cl 0.500 0.500 0.500
```

Computed properties:
raw total energy: -5.396 eV/atom
E_form (uncorrected): 0.52 eV/atom
density of states at the Fermi level: 0.901 states/eV/atom

***

No. 4
Density functional theory data (GGA-PBE) for a relaxed structure of HgGe2Cl6.

CIF file:
```
data_HgGe2Cl6
_cell_length_a 10.220
_cell_length_b 14.764
_cell_length_c 8.716
_cell_angle_alpha 90.00
_cell_angle_beta 102.72
_cell_angle_gamma 90.00
_space_group_name_H-M_alt 'C 1 2/c 1'
_space_group_IT_number 15
_space_group_name_Hall '-C 2yc'
loop_
_atom_site_label
_atom_site_type_symbol
_atom_site_fract_x
_atom_site_fract_y
_atom_site_fract_z
Hg1 Hg 0.000 0.236 0.250
Ge1 Ge 0.200 0.439 0.660
Cl1 Cl 0.017 0.371 0.483
Cl2 Cl 0.144 0.072 0.489
Cl3 Cl 0.222 0.206 0.198
```

Computed properties:
raw total energy: -2.994 eV/atom
E_form (uncorrected): -0.70 eV/atom
density of states at the Fermi level: 0.000 states/eV/atom

***

No. 5
Density functional theory data (GGA-PBE) for a relaxed structure of HgGe2Cl8.

CIF file:
```
data_HgGe2Cl8
_cell_length_a 13.986
_cell_length_b 7.555
_cell_length_c 9.736
_cell_angle_alpha 90.00
_cell_angle_beta 115.29
_cell_angle_gamma 90.00
_space_group_name_H-M_alt 'C 1 2/m 1'
_space_group_IT_number 12
_space_group_name_Hall '-C 2y'
loop_
_atom_site_label
_atom_site_type_symbol
_atom_site_fract_x
_atom_site_fract_y
_atom_site_fract_z
Hg1 Hg 0.000 0.000 0.000
Ge1 Ge 0.213 0.000 0.688
Cl1 Cl 0.118 0.500 0.202
Cl2 Cl 0.154 0.231 0.754
Cl3 Cl 0.161 0.000 0.447
```

Computed properties:
raw total energy: -3.039 eV/atom
E_form (uncorrected): -0.83 eV/atom
density of states at the Fermi level: 0.000 states/eV/atom

***

No. 6
Density functional theory data (GGA-PBE) for a relaxed structure of Hg2Ge2Cl.

CIF file:
```
data_Hg2Ge2Cl
_cell_length_a 3.826
_cell_length_b 3.826
_cell_length_c 16.626
_cell_angle_alpha 90.00
_cell_angle_beta 90.00
_cell_angle_gamma 90.00
_space_group_name_H-M_alt 'I 4/m m m'
_space_group_IT_number 139
_space_group_name_Hall '-I 4 2'
loop_
_atom_site_label
_atom_site_type_symbol
_atom_site_fract_x
_atom_site_fract_y
_atom_site_fract_z
Hg1 Hg 0.000 0.000 0.100
Ge1 Ge 0.000 0.500 0.250
Cl1 Cl 0.000 0.000 0.500
```

Computed properties:
raw total energy: -2.276 eV/atom
E_form (uncorrected): 0.06 eV/atom
density of states at the Fermi level: 0.340 states/eV/atom

***

Q: Look up the E_form (uncorrected) of the sixth one.
A: 0.06 eV/atom

***

Q: E_form (uncorrected) of number 1 (HfNi2GeCl)?
A: 0.24 eV/atom